The following is a DFT calculation (PBE-GGA) of an optimized crystal structure of Li2CoPt. Values from VASP.

Structure (Quantum ESPRESSO input):
```
&SYSTEM
  ibrav = 0, nat = 4, ntyp = 3
/
ATOMIC_SPECIES
Li 6.94 Li.upf
Co 58.93 Co.upf
Pt 195.08 Pt.upf
ATOMIC_POSITIONS crystal
Li 0.0000 0.5000 0.0000
Li 0.5000 0.0000 0.0000
Co 0.0000 0.0000 0.5000
Pt 0.5000 0.5000 0.5000
CELL_PARAMETERS angstrom
4.1613 0.0000 0.0000
0.0000 4.1613 0.0000
0.0000 0.0000 2.8493
```

Summary:
The calculation puts the formation energy from the elements at -0.026 eV/atom. As for the relative energy among the computed polymorphs: 220 meV per atom.

The following is a DFT calculation (PBE-GGA) of an optimized crystal structure of Sr5Tl. Values from VASP.

Structure (Quantum ESPRESSO input):
```
&SYSTEM
  ibrav = 0, nat = 6, ntyp = 2
/
ATOMIC_SPECIES
Sr 87.62 Sr.upf
Tl 204.38 Tl.upf
ATOMIC_POSITIONS crystal
Sr 0.0000 0.0000 0.0000
Sr 0.1806 0.1806 0.3552
Sr 0.2936 0.2936 0.9054
Sr 0.5307 0.5307 0.5263
Sr 0.8566 0.8566 0.4262
Tl 0.6520 0.6520 0.9314
CELL_PARAMETERS angstrom
9.8844 -2.1539 0.0000
9.8844 2.1539 0.0000
-0.8260 0.0000 6.6994
```

Summary:
The calculation puts the formation energy from the elements at -0.087 eV/atom. As for the relative energy among the computed polymorphs: 54 meV per atom.

The following is a DFT calculation (PBE-GGA) of an optimized crystal structure of Ac6P2N3Cl. Values from VASP.

Structure (Quantum ESPRESSO input):
```
&SYSTEM
  ibrav = 0, nat = 12, ntyp = 4
/
ATOMIC_SPECIES
Ac 227.00 Ac.upf
P 30.97 P.upf
N 14.01 N.upf
Cl 35.45 Cl.upf
ATOMIC_POSITIONS crystal
Ac 0.0107 0.0107 0.2217
Ac 0.3225 0.3225 0.4325
Ac 0.3370 0.3370 0.9067
Ac 0.6630 0.6630 0.0933
Ac 0.6775 0.6775 0.5675
Ac 0.9893 0.9893 0.7783
P 0.1607 0.1607 0.8236
P 0.8393 0.8393 0.1764
N 0.1694 0.1694 0.3393
N 0.5000 0.5000 0.0000
N 0.8306 0.8306 0.6607
Cl 0.5000 0.5000 0.5000
CELL_PARAMETERS angstrom
9.1158 -2.0515 0.0000
9.1158 2.0515 0.0000
-2.3388 0.0000 8.1185
```

Summary:
The raw formation energy comes out at -1.277 eV per atom.

no.,total magnetization (μB per atom)
1,0.420
2,0.000
3,0.000